<a>
Below is crystalline Mg4InGa3 at its relaxed geometry, with properties calculated at the PBE level.

```
Mg4InGa3
1.0
-2.491 -5.006 -1.630
1.364 -2.282 4.925
-9.122 3.229 4.022
Mg In Ga
8 2 6
Direct
0.108 0.931 0.000
0.391 0.432 0.000
0.135 0.323 0.256
0.635 0.677 0.244
0.891 0.568 0.500
0.608 0.069 0.500
0.635 0.677 0.756
0.135 0.323 0.744
0.890 0.434 0.000
0.390 0.566 0.500
0.599 0.914 0.000
0.128 0.824 0.283
0.628 0.176 0.217
0.099 0.086 0.500
0.628 0.176 0.783
0.128 0.824 0.717
```

## Properties
The density of states at the Fermi level is 7.17 states/eV per cell. The value obtained for the magnetization is 0.000 μB per cell. Its volume is 21.35 A^3/atom. The symmetry is Pmn2_1 (31).

***

<b>
Below is crystalline Mg4InGa3 at its relaxed geometry, with properties calculated at the PBE level.

```
Mg4InGa3
1.0
-0.996 4.665 0.642
-4.551 -0.223 -5.442
-7.112 -2.349 6.043
Mg Ga In
8 6 2
Direct
0.500 0.761 0.000
0.500 0.761 0.500
0.500 0.239 0.000
0.500 0.239 0.500
0.000 0.761 0.750
0.000 0.761 0.250
0.000 0.239 0.250
0.000 0.239 0.750
0.000 0.000 0.000
0.000 0.000 0.500
0.500 0.000 0.750
0.500 0.000 0.250
0.500 0.500 0.750
0.500 0.500 0.250
0.000 0.500 0.000
0.000 0.500 0.500
```

## Properties
The density of states at the Fermi level is 6.09 states/eV per cell. The value obtained for the magnetization is 0.000 μB per cell. Its volume is 20.55 A^3/atom. The symmetry is P4/mmm (123).

***

Which is the most stable structure? <b> is the most stable.